1.
DFT (GGA-PBEsol) results for a relaxed structure of Zr2CoH2.

```
Zr2CoH2
1.0
3.129 0.000 0.000
0.000 3.129 0.000
-1.565 -1.565 5.900
H Co Zr
2 1 2
direct
0.250 0.750 0.500
0.750 0.250 0.500
0.000 0.000 0.000
0.366 0.366 0.732
0.634 0.634 0.268
```

Summary:
- electronic total energy (eV per atom) = -6.966
- space group = I4/mmm


2.
DFT (GGA-PBEsol) results for a relaxed structure of Hf6Co23.

```
Hf6Co23
1.0
7.952 0.000 0.000
3.976 6.886 0.000
3.976 2.295 6.492
Hf Co
6 23
direct
0.289 0.289 0.711
0.711 0.289 0.711
0.711 0.289 0.289
0.711 0.711 0.289
0.289 0.711 0.289
0.289 0.711 0.711
0.000 0.000 0.000
0.500 0.500 0.000
0.000 0.500 0.000
0.000 0.500 0.500
0.000 0.000 0.500
0.500 0.000 0.500
0.500 0.000 0.000
0.879 0.362 0.879
0.879 0.879 0.362
0.879 0.879 0.879
0.362 0.879 0.879
0.121 0.638 0.121
0.121 0.121 0.638
0.121 0.121 0.121
0.638 0.121 0.121
0.674 0.977 0.674
0.674 0.674 0.977
0.674 0.674 0.674
0.977 0.674 0.674
0.326 0.023 0.326
0.326 0.326 0.023
0.326 0.326 0.326
0.023 0.326 0.326
```

Summary:
- formation energy (eV/atom) = -0.27
- space group = Fm-3m


3.
DFT (GGA-PBEsol) results for a relaxed structure of Hf2CoI.

```
Hf2CoI
1.0
5.996 0.000 0.000
0.000 5.996 0.000
-2.998 -2.998 5.905
I Co Hf
2 2 4
direct
0.250 0.750 0.500
0.000 0.000 0.000
0.750 0.250 0.500
0.500 0.500 0.000
0.464 0.875 0.250
0.786 0.375 0.250
0.125 0.214 0.750
0.625 0.536 0.750
```

Summary:
- raw formation energy (eV/atom) = 0.521
- space group = I-42d


4.
DFT (GGA-PBEsol) results for a relaxed structure of Hf3CoI.

```
Hf3CoI
1.0
-2.331 1.598 4.209
2.123 -3.789 2.614
3.969 2.965 1.073
I Co Hf
1 1 3
direct
0.000 0.000 0.000
0.500 0.500 0.500
0.000 0.500 0.000
0.000 0.000 0.500
0.500 0.000 0.000
```

Summary:
- raw formation energy (eV/atom) = 1.711
- space group = Pm-3m


Taking the records one at a time from the top gives N(E_F) values of 2.76, 34.22, 11.84, 5.66 states/eV/cell.